Entry 1:
This record from Alexandria describes HfAg2H after structural relaxation. The functional is GGA-PBE.

Summary:
The calculation puts the spin magnetization at 0.000 μB/f.u. The space-group type is Fm-3m, No. 225. As for the energy above the most stable polymorph in this dataset: 0.250 eV/atom. Its energy is -4.0219 eV/atom.

Geometry as POSCAR:
```
HfAg2H
1.0
2.337 -1.805 3.501
-2.166 -1.067 3.892
-0.620 -4.391 1.146
H Hf Ag
1 1 2
Direct
0.000 0.000 0.000
0.500 0.500 0.500
0.250 0.250 0.250
0.750 0.750 0.750
```

Entry 2:
This record from Alexandria describes Ca2YRh after structural relaxation. The functional is GGA-PBE.

Summary:
The calculation puts the spin magnetization at 0.000 μB/f.u. For the formation energy, the calculation gives -1.3 eV per formula unit. The space-group type is P4mm, No. 99. As for the energy above the most stable polymorph in this dataset: 0.011 eV/atom. Its energy is -4.7884 eV/atom.

Geometry as POSCAR:
```
Ca2YRh
1.0
-0.855 0.993 3.277
-3.424 -0.249 -0.817
0.003 -9.027 2.735
Y Ca Rh
1 2 1
Direct
0.500 0.500 0.672
0.000 0.000 0.989
0.500 0.500 0.321
0.000 0.000 0.518
```

Entry 3:
This record from Alexandria describes V2PdRh3 after structural relaxation. The functional is GGA-PBE.

Summary:
The calculation puts the spin magnetization at 1.253 μB/f.u. For the formation energy, the calculation gives -2.0 eV per formula unit. The space-group type is Cmmm, No. 65. Its energy is -7.9073 eV/atom.

Geometry as POSCAR:
```
V2PdRh3
1.0
-1.394 -3.043 1.565
0.290 -1.890 -3.418
5.225 -0.787 3.123
V Pd Rh
2 1 3
Direct
0.000 0.664 0.328
0.000 0.336 0.672
0.000 0.000 0.000
0.500 0.170 0.340
0.500 0.500 0.000
0.500 0.830 0.660
```